Entry 1:
The following is a DFT calculation (PBE) of crystalline ZrAs2Se at its relaxed geometry.

It has space group R-3m (No. 166, hexagonal axes), with a = 3.6520 Å, b = 3.6520 Å, c = 21.8208 Å, α = 90.00°, β = 90.00° and γ = 120.00°. Symmetry generates all atoms from Zr at (0.0000, 0.0000, 0.0000), As at (0.0000, 0.0000, 0.2504) and Se at (0.0000, 0.0000, 0.5000).

Its total moment is 0.00 Bohr magnetons per cell. The uncorrected formation energy comes out at -95 meV/atom. The calculation puts the uncorrected energy at -5.428 eV per atom.

=====

Entry 2:
The following is a DFT calculation (PBE) of crystalline Co2PtPb at its relaxed geometry.

It has space group C2/m (No. 12), with a = 8.578 Å, b = 3.422 Å, c = 4.767 Å, α = 90.00°, β = 105.68° and γ = 90.00°. Symmetry generates all atoms from Co at (0.237, 0.000, 0.167), Pt at (0.000, 0.500, 0.000) and Pb at (0.000, 0.000, 0.500).

Its total moment is 6.71 Bohr magnetons per cell. The formation enthalpy at 0 K is 322 meV/atom. The calculation puts the uncorrected energy at -5.668 eV per atom.

=====

Entry 3:
The following is a DFT calculation (PBE) of crystalline Y2VCd at its relaxed geometry.

It has space group P4/mmm (No. 123), with a = 3.645 Å, b = 3.645 Å, c = 7.501 Å, α = 90.00°, β = 90.00° and γ = 90.00°. Symmetry generates all atoms from Y at (0.000, 0.000, 0.231), V at (0.500, 0.500, 0.000) and Cd at (0.500, 0.500, 0.500).

Its total moment is 3.21 Bohr magnetons per cell. The formation enthalpy at 0 K is 8 meV/atom. The calculation puts the uncorrected energy at -5.732 eV per atom. The energy above the lowest structure with this stoichiometry comes out at 0.000 eV per atom.

=====

Entry 4:
The following is a DFT calculation (PBE) of crystalline ScVSn2 at its relaxed geometry.

It has space group Fm-3m (No. 225), with a = 6.959 Å, b = 6.959 Å, c = 6.959 Å, α = 90.00°, β = 90.00° and γ = 90.00°. Symmetry generates all atoms from Sc at (0.000, 0.000, 0.000), V at (0.000, 0.000, 0.500) and Sn at (0.250, 0.250, 0.250).

Its total moment is 11.05 Bohr magnetons per cell. The formation enthalpy at 0 K is -110 meV/atom. The calculation puts the uncorrected energy at -5.974 eV per atom. The energy above the lowest structure with this stoichiometry comes out at 0.025 eV per atom.

=====

Entry 5:
The following is a DFT calculation (PBE) of crystalline Y2BeSiPd6 at its relaxed geometry.

It has space group P-1 (No. 2), with a = 5.728 Å, b = 5.895 Å, c = 6.807 Å, α = 67.50°, β = 65.23° and γ = 60.96°. Symmetry generates all atoms from Y at (0.222, 0.248, 0.319), Be at (0.000, 0.000, 0.000), Si at (0.500, 0.500, 0.500), Pd at (0.239, 0.672, 0.833), Pd at (0.255, 0.220, 0.770) and Pd at (0.261, 0.782, 0.219).

Its total moment is 0.00 Bohr magnetons per cell. The uncorrected formation energy comes out at -708 meV/atom. The calculation puts the uncorrected energy at -6.031 eV per atom.

=====

Entry 6:
The following is a DFT calculation (PBE) of crystalline Er6BeS5 at its relaxed geometry.

It has space group C2/m (No. 12), with a = 6.753 Å, b = 11.661 Å, c = 6.718 Å, α = 90.00°, β = 109.52° and γ = 90.00°. Symmetry generates all atoms from Er at (0.241, 0.000, 0.256), Er at (0.242, 0.161, 0.742), Be at (0.000, 0.000, 0.500), S at (0.000, 0.172, 0.000), S at (0.000, 0.335, 0.500) and S at (0.000, 0.500, 0.000).

Its total moment is 0.00 Bohr magnetons per cell. The uncorrected formation energy comes out at -1655 meV/atom. The calculation puts the uncorrected energy at -5.967 eV per atom.

=====

Entry 7:
The following is a DFT calculation (PBE) of crystalline Al6Ga12Ge at its relaxed geometry.

It has space group R-3 (No. 148, hexagonal axes), with a = 10.9130 Å, b = 10.9130 Å, c = 10.7563 Å, α = 90.00°, β = 90.00° and γ = 120.00°. Symmetry generates all atoms from Al at (0.0331, 0.8701, 0.2009), Ga at (0.0510, 0.7895, 0.4337), Ga at (0.0604, 0.8035, 0.9431) and Ge at (0.0000, 0.0000, 0.5000).

Its total moment is 0.00 Bohr magnetons per cell. The formation enthalpy at 0 K is 78 meV/atom. The calculation puts the uncorrected energy at -3.258 eV per atom.

=====

Entry 8:
The following is a DFT calculation (PBE) of crystalline Pr13Nd3 at its relaxed geometry.

It has space group Amm2 (No. 38), with a = 10.507 Å, b = 10.476 Å, c = 10.476 Å, α = 90.00°, β = 90.00° and γ = 90.00°. Symmetry generates all atoms from Pr at (0.000, 0.000, 0.000), Pr at (0.000, 0.000, 0.499), Pr at (0.000, 0.250, 0.250), Pr at (0.250, 0.250, 0.000), Pr at (0.251, 0.000, 0.750), Pr at (0.500, 0.000, 0.499), Pr at (0.500, 0.249, 0.250), Nd at (0.250, 0.000, 0.249) and Nd at (0.500, 0.000, 0.000).

Its total moment is 0.00 Bohr magnetons per cell. The formation enthalpy at 0 K is 11 meV/atom. The calculation puts the uncorrected energy at -4.766 eV per atom.

=====

Which formula does entry 5 have?
Y2BeSiPd6